# 1
KSrTb (GGA-PBE, optimized geometry); E_tot = -1.4989 eV/atom; space group = F-43m (216)
1.0
4.742 -0.675 3.905
0.645 3.868 4.776
-1.001 -2.007 5.759
Tb Sr K
1 1 1
Cartesian
3.290 0.890 10.829
1.097 0.297 3.610
0.000 0.000 0.000


# 2
KTa (GGA-PBE, optimized geometry); space group = F-43m (216); energy above the lowest structure with this stoichiometry = 207.7 kJ per mole of atoms
1.0
0.000 4.106 4.106
4.106 0.000 4.106
4.106 4.106 0.000
Ta K
1 1
Cartesian
2.053 2.053 2.053
0.000 0.000 0.000


# 3
KTa (GGA-PBE, optimized geometry); space group = Fm-3m (225); energy above the lowest structure with this stoichiometry = 173.9 kJ per mole of atoms
1.0
-2.462 -4.069 1.504
-3.058 0.246 3.933
-4.935 -0.313 -0.654
K Ta
1 1
Cartesian
0.000 0.000 0.000
-5.227 -2.068 2.392


# 4
KTa (GGA-PBE, optimized geometry); space group = P6_3/mmc (194); energy above the lowest structure with this stoichiometry = 48.3 kJ per mole of atoms
1.0
6.296 0.000 0.000
-3.148 5.452 0.000
0.000 0.000 4.840
K Ta
2 2
Cartesian
3.148 1.817 1.210
0.000 3.635 3.630
0.000 0.000 0.000
0.000 0.000 2.420


# 5
KTa (GGA-PBE, optimized geometry); space group = P-6m2 (187); energy above the lowest structure with this stoichiometry = 0.0 kJ per mole of atoms
1.0
2.965 0.000 0.000
-1.482 2.568 0.000
0.000 0.000 6.580
K Ta
1 1
Cartesian
1.482 0.856 4.935
0.000 1.712 1.645


# 6
KTbTa (GGA-PBE, optimized geometry); E_tot = -3.6097 eV/atom; space group = F-43m (216)
1.0
-4.987 -0.228 1.104
-3.252 3.296 -2.168
-3.326 -1.634 -3.522
Ta K Tb
1 1 1
Cartesian
-2.891 0.358 -1.147
0.000 0.000 0.000
-8.673 1.075 -3.440


# 7
KTaTc (GGA-PBE, optimized geometry); space group = F-43m (216); energy above the lowest structure with this stoichiometry = 0.0 kJ per mole of atoms
1.0
1.060 -0.760 4.397
0.175 3.502 2.955
-3.216 0.428 3.241
K Ta Tc
1 1 1
Cartesian
0.000 0.000 0.000
-0.991 1.585 5.296
-0.495 0.793 2.648


# 8
KTaTc (GGA-PBE, optimized geometry); space group = F-43m (216); energy above the lowest structure with this stoichiometry = 130.0 kJ per mole of atoms
1.0
-1.876 1.461 3.990
-3.340 3.228 -0.048
-4.367 -1.161 1.075
Tc Ta K
1 1 1
Cartesian
-7.188 2.646 3.763
-2.396 0.882 1.254
0.000 0.000 0.000


# 9
KTa3Te5 (GGA-PBE, optimized geometry); E_tot = -6.1334 eV/atom; space group = P6/mmm (191)
1.0
-1.522 -2.150 5.425
2.385 -3.679 -4.140
7.859 1.808 2.921
Te K Ta
5 1 3
Cartesian
1.647 -2.230 2.930
7.075 -1.790 1.275
3.930 0.904 1.460
5.773 -1.280 4.464
2.950 -2.740 -0.258
0.000 0.000 0.000
3.169 -0.171 4.173
5.122 -0.935 -0.610
4.361 -2.010 2.103


# 10
KZrTa (GGA-PBE, optimized geometry); space group = F-43m (216); energy above the lowest structure with this stoichiometry = 51.7 kJ per mole of atoms
1.0
0.000 3.461 3.461
3.461 0.000 3.461
3.461 3.461 0.000
Ta Zr K
1 1 1
Cartesian
1.730 1.730 1.730
5.191 5.191 5.191
0.000 0.000 0.000


# 11
K2Tb (GGA-PBE, optimized geometry); E_tot = -1.6099 eV/atom; space group = P6_3/mmc (194)
1.0
-2.101 -7.350 -1.397
2.286 4.568 -5.856
10.629 -3.333 1.550
K Tb
8 4
Cartesian
3.187 -1.796 -5.312
6.659 -7.709 -1.035
0.000 0.000 0.000
3.101 -0.513 -1.967
4.156 1.594 -4.668
7.628 -4.319 -0.391
5.315 -1.666 0.775
7.713 -5.602 -3.737
0.433 -3.713 -2.727
3.605 -4.708 -2.265
10.382 -2.402 -2.976
7.210 -1.407 -3.439


# 12
KTb2 (GGA-PBE, optimized geometry); E_tot = -2.8953 eV/atom; space group = Fd-3m (227)
1.0
0.000 5.003 5.003
5.003 0.000 5.003
5.003 5.003 0.000
Tb K
4 2
Cartesian
3.752 3.752 6.253
6.253 6.253 6.253
6.253 3.752 3.752
3.752 6.253 3.752
2.501 2.501 2.501
0.000 0.000 0.000